No. 1
The following is a DFT calculation (PBE-GGA) of crystalline Sm4Y3Co4 at its relaxed geometry.

Output
* DOS(E_F): 0.91 states/eV per atom
* E_tot: -66.8 eV per cell
* total moment: 0.6 Bohr magnetons per cell
* E_form: -13 meV/atom
* density: 7.14 g/cm3

Unit cell a=3.6527 b=8.9231 c=9.2338 alpha=118.89 beta=101.41 gamma=90.00
Last column: magnetic moment on the atom in μB.
Fractional positions:
Sm  0.3358  0.1504  0.6716  -0.02
Sm  0.6642  0.4788  0.3284  -0.02
Sm  0.6642  0.8496  0.3284  -0.02
Sm  0.3358  0.5212  0.6716  -0.02
Y  0.1032  0.1032  0.2063  -0.05
Y  0.8968  0.8968  0.7937  -0.05
Y  0.0000  0.5000  0.0000  -0.07
Co  0.2516  0.7516  0.5033  -0.04
Co  0.7484  0.2484  0.4967  -0.04
Co  0.5000  0.7880  0.0000  0.56
Co  0.5000  0.2120  0.0000  0.56



No. 2
The following is a DFT calculation (PBE-GGA) of crystalline ZrGaS at its relaxed geometry.

Output
* DOS(E_F): 0.51 states/eV per atom
* formation energy from raw total energies: -1.07 eV per atom
* E_tot: -37.8 eV per cell
* total moment: 0.0 Bohr magnetons per cell
* density: 5.89 g/cm3

Unit cell a=3.6037 b=3.6037 c=8.3855 alpha=90.00 beta=90.00 gamma=90.00
Fractional positions:
Ga  0.0000  0.0000  0.0000
Ga  0.5000  0.5000  0.0000
S  0.0000  0.5000  0.3815
S  0.5000  0.0000  0.6185
Zr  0.0000  0.5000  0.7149
Zr  0.5000  0.0000  0.2851



No. 3
The following is a DFT calculation (PBE-GGA) of crystalline Cs3Ce2YTe6 at its relaxed geometry.

Output
* DOS(E_F): 1.03 states/eV per atom
* formation energy from raw total energies: -1.36 eV per atom
* E_tot: -56.1 eV per cell
* total moment: 2.0 Bohr magnetons per cell
* density: 5.04 g/cm3

Unit cell a=8.0902 b=8.0902 c=9.3139 alpha=98.33 beta=98.33 gamma=120.00
Last column: magnetic moment on the atom in μB.
Fractional positions:
Cs  0.1682  0.8318  0.5000  0.00
Cs  0.8318  0.1682  0.5000  0.00
Cs  0.5000  0.5000  0.5000  0.00
Ce  0.3335  0.6665  0.0000  -0.99
Ce  0.6665  0.3335  0.0000  -0.99
Y  0.0000  0.0000  0.0000  0.00
Te  0.9360  0.6105  0.8078  0.01
Te  0.7390  0.7390  0.1929  0.01
Te  0.0640  0.3895  0.1922  0.01
Te  0.6105  0.9360  0.8078  0.01
Te  0.2610  0.2610  0.8071  0.01
Te  0.3895  0.0640  0.1922  0.01



No. 4
The following is a DFT calculation (PBE-GGA) of crystalline Ba2MoP2N6 at its relaxed geometry.

Output
* DOS(E_F): 0.04 states/eV per atom
* formation energy from raw total energies: -0.62 eV per atom
* E_tot: -82.2 eV per cell
* total moment: 0.0 Bohr magnetons per cell
* density: 5.69 g/cm3

Unit cell a=5.6611 b=5.6611 c=6.3360 alpha=63.47 beta=63.47 gamma=60.00
Fractional positions:
Ba  0.7709  0.7709  0.6874
Ba  0.2291  0.2291  0.3126
Mo  0.0000  0.0000  0.0000
P  0.4308  0.4308  0.7075
P  0.5692  0.5692  0.2925
N  0.7559  0.7559  0.2162
N  0.2719  0.7559  0.2162
N  0.7559  0.2719  0.2162
N  0.2441  0.7281  0.7838
N  0.7281  0.2441  0.7838
N  0.2441  0.2441  0.7838



No. 5
The following is a DFT calculation (PBE-GGA) of crystalline K2AgTeBr6 at its relaxed geometry.

Output
* DOS(E_F): 0.35 states/eV per atom
* formation energy from raw total energies: -0.84 eV per atom
* E_tot: -53.2 eV per cell
* total moment: 0.0 Bohr magnetons per cell
* density: 3.64 g/cm3

Unit cell a=7.8752 b=8.0729 c=11.3968 alpha=90.00 beta=90.00 gamma=90.00
Fractional positions:
K  0.5000  0.7888  0.2180
K  0.0000  0.2112  0.7180
K  0.5000  0.7888  0.7820
K  0.0000  0.2112  0.2820
Ag  0.0000  0.7444  0.5000
Ag  0.5000  0.2556  0.0000
Te  0.5000  0.2490  0.5000
Te  0.0000  0.7510  0.0000
Br  0.5000  0.2360  0.2334
Br  0.5000  0.2360  0.7666
Br  0.0000  0.7640  0.2666
Br  0.0000  0.7640  0.7334
Br  0.2527  0.0027  0.5000
Br  0.7473  0.0027  0.5000
Br  0.2450  0.4831  0.5000
Br  0.7550  0.4831  0.5000
Br  0.7450  0.5169  0.0000
Br  0.2550  0.5169  0.0000
Br  0.2473  0.9973  0.0000
Br  0.7527  0.9973  0.0000



No. 6
The following is a DFT calculation (PBE-GGA) of crystalline SmDy3Tl3 at its relaxed geometry.

Output
* DOS(E_F): 0.84 states/eV per atom
* E_tot: -54.6 eV per cell
* energy relative to the lowest polymorph listed for this composition: 0.012 eV/atom
* total moment: 0.0 Bohr magnetons per cell
* E_form: -242 meV/atom
* density: 10.23 g/cm3

Unit cell a=5.2321 b=9.4655 c=9.4655 alpha=120.00 beta=90.00 gamma=90.00
Fractional positions:
Sm  0.2500  0.6667  0.3333
Sm  0.7500  0.3333  0.6667
Dy  0.2500  0.7672  0.7669
Dy  0.2500  0.2331  0.0003
Dy  0.2500  0.9997  0.2328
Dy  0.7500  0.2328  0.2331
Dy  0.7500  0.7669  0.9997
Dy  0.7500  0.0003  0.7672
Tl  0.7500  0.6223  0.5513
Tl  0.7500  0.4487  0.0710
Tl  0.7500  0.9290  0.3777
Tl  0.2500  0.3777  0.4487
Tl  0.2500  0.5513  0.9290
Tl  0.2500  0.0710  0.6223



No. 7
The following is a DFT calculation (PBE-GGA) of crystalline Dy3Zn2Au4 at its relaxed geometry.

Output
* DOS(E_F): 0.55 states/eV per atom
* E_tot: -36.0 eV per cell
* total moment: 0.0 Bohr magnetons per cell
* E_form: -726 meV/atom
* density: 12.29 g/cm3

Unit cell a=4.5851 b=5.7517 c=8.7778 alpha=114.19 beta=90.00 gamma=113.49
Fractional positions:
Dy  0.6522  0.3044  0.6841
Dy  0.0000  0.0000  0.0000
Dy  0.3478  0.6956  0.3159
Zn  0.6423  0.2845  0.3132
Zn  0.3577  0.7155  0.6868
Au  0.7167  0.4333  0.0681
Au  0.2833  0.5667  0.9319
Au  0.9251  0.8502  0.6020
Au  0.0749  0.1498  0.3980



No. 8
The following is a DFT calculation (PBE-GGA) of crystalline AgRuO4 at its relaxed geometry.

Output
* DOS(E_F): 0.45 states/eV per atom
* formation energy from raw total energies: -0.55 eV per atom
* E_tot: -70.5 eV per cell
* total moment: 0.0 Bohr magnetons per cell
* density: 5.49 g/cm3

Unit cell a=7.1365 b=7.1365 c=7.1365 alpha=137.30 beta=137.30 gamma=61.98
Fractional positions:
Ag  0.5000  0.5000  0.0000
Ag  0.2500  0.7500  0.5000
Ru  0.0000  0.0000  0.0000
Ru  0.7500  0.2500  0.5000
O  0.6802  0.0767  0.9119
O  0.5852  0.4817  0.4119
O  0.5183  0.9302  0.1035
O  0.9233  0.8352  0.6035
O  0.2317  0.3198  0.3965
O  0.8267  0.4148  0.8965
O  0.0698  0.1733  0.5881
O  0.1648  0.7683  0.0881



No. 9
The following is a DFT calculation (PBE-GGA) of crystalline YRhN2F at its relaxed geometry.

Output
* DOS(E_F): 0.93 states/eV per atom
* formation energy from raw total energies: -0.41 eV per atom
* E_tot: -34.4 eV per cell
* energy relative to the lowest polymorph listed for this composition: 0.000 eV/atom
* total moment: 0.0 Bohr magnetons per cell
* density: 6.19 g/cm3

Unit cell a=3.9630 b=3.9630 c=4.0807 alpha=90.00 beta=90.00 gamma=90.00
Fractional positions:
Y  0.5000  0.5000  0.5000
N  0.0000  0.5000  0.0000
N  0.5000  0.0000  0.0000
Rh  0.0000  0.0000  0.0000
F  0.0000  0.0000  0.5000